Entry 1:
Material: DyTm3Zn
Method: DFT, PBE
State: optimized geometry

Properties
As for the symmetry: C2/m (12). Its mass density is 8.25 g cm⁻³. For the spin magnetization, the calculation gives 0.0 μB/cell.

Structure (POSCAR):
```
DyTm3Zn
1.0
7.0177 -0.0677 -0.4685
-1.9852 6.7314 0.4685
-3.1575 -2.8476 6.3422
Tm Dy Zn
6 2 2
direct
0.2271 0.3900 0.2146
0.7729 0.6100 0.7854
0.1754 0.0125 0.7854
0.8246 0.9875 0.2146
0.2626 0.5488 0.8114
0.7374 0.4512 0.1886
0.3088 0.9177 0.2266
0.6912 0.0823 0.7734
0.3317 0.2339 0.5656
0.6683 0.7661 0.4344
```

***

Entry 2:
Material: DyTmZn
Method: DFT, PBE
State: optimized geometry

Properties
The energy above the most stable polymorph in this dataset is 229 meV/atom. As for the symmetry: Pnma (62). Its mass density is 7.88 g cm⁻³. For the spin magnetization, the calculation gives 0.0 μB/cell.

Structure (POSCAR):
```
DyTmZn
1.0
4.8944 0.0000 0.0000
0.0000 6.9794 0.0000
0.0000 0.0000 9.7984
Dy Tm Zn
4 4 4
direct
0.7500 0.5001 0.1285
0.2500 0.0001 0.3715
0.2500 0.4999 0.8715
0.7500 0.9999 0.6285
0.2500 0.9999 0.8781
0.2500 0.5001 0.3781
0.7500 0.0001 0.1219
0.7500 0.4999 0.6219
0.2500 0.2501 0.6248
0.7500 0.7501 0.8752
0.7500 0.7499 0.3752
0.2500 0.2499 0.1248
```

***

Entry 3:
Material: Dy5TmZn6
Method: DFT, PBE
State: optimized geometry

Properties
As for the symmetry: Cmmm (65). Its mass density is 8.42 g cm⁻³. For the spin magnetization, the calculation gives 0.0 μB/cell.

Structure (POSCAR):
```
Dy5TmZn6
1.0
4.7670 -0.0285 1.5898
0.0384 7.1457 0.0128
0.0005 -0.0143 7.9510
Tm Dy Zn
1 5 6
direct
0.0000 0.0000 0.0000
0.6674 0.5000 0.6650
0.3326 0.5000 0.3350
0.3342 0.0000 0.3320
0.6658 0.0000 0.6680
0.0000 0.5000 0.0000
0.8347 0.2477 0.3310
0.5000 0.7522 0.0000
0.5000 0.2478 0.0000
0.8347 0.7523 0.3310
0.1653 0.7523 0.6690
0.1653 0.2477 0.6690
```

***

Entry 4:
Material: DyTmZn4
Method: DFT, PBE
State: optimized geometry

Properties
The energy above the most stable polymorph in this dataset is 44 meV/atom. As for the symmetry: F-43m (216). Its mass density is 8.68 g cm⁻³. For the spin magnetization, the calculation gives 0.0 μB/cell.

Structure (POSCAR):
```
DyTmZn4
1.0
5.4335 0.0000 0.0000
2.7167 4.7055 0.0000
2.7167 1.5685 4.4364
Zn Tm Dy
4 1 1
direct
0.6250 0.1249 0.6250
0.6250 0.6250 0.6250
0.1249 0.6250 0.6250
0.6250 0.6250 0.1249
0.0000 0.0000 0.0000
0.2500 0.2500 0.2500
```

***

Entry 5:
Material: Dy4Tm5Zn
Method: DFT, PBE
State: optimized geometry

Properties
As for the symmetry: P4/mmm (123). Its mass density is 8.93 g cm⁻³. For the spin magnetization, the calculation gives 0.0 μB/cell.

Structure (POSCAR):
```
Dy4Tm5Zn
1.0
-0.6995 -3.0690 -1.5483
3.0732 -1.2661 1.1212
-10.3501 -7.6149 19.7700
Dy Zn Tm
4 1 5
direct
0.0000 0.0000 0.3943
0.0000 0.0000 0.8175
0.0000 0.0000 0.1825
0.0000 0.0000 0.6057
0.0000 0.0000 0.0000
0.5000 0.5000 0.7123
0.5000 0.5000 0.2877
0.5000 0.5000 0.9256
0.5000 0.5000 0.5000
0.5000 0.5000 0.0744
```

***

Entry 6:
Material: DyTmZn4
Method: DFT, PBE
State: optimized geometry

Properties
The energy above the most stable polymorph in this dataset is 0 meV/atom. As for the symmetry: Immm (71). Its mass density is 8.26 g cm⁻³. For the spin magnetization, the calculation gives 0.0 μB/cell.

Structure (POSCAR):
```
DyTmZn4
1.0
-2.0726 2.2999 -3.2347
-5.6085 -0.5818 0.0810
-1.9160 5.0236 1.7006
Zn Dy Tm
4 1 1
direct
0.3334 0.9162 0.4170
0.6666 0.5830 0.0838
0.6666 0.0838 0.5830
0.3334 0.4170 0.9162
0.0000 0.0000 0.0000
0.0000 0.5000 0.5000
```

***

Entry 7:
Material: Dy4TmZn2
Method: DFT, PBE
State: optimized geometry

Properties
As for the symmetry: R-3m (166). Its mass density is 7.78 g cm⁻³. For the spin magnetization, the calculation gives 0.0 μB/cell.

Structure (POSCAR):
```
Dy4TmZn2
1.0
5.2341 0.0000 0.0000
2.6170 4.5329 0.0000
2.6170 1.5110 8.5429
Dy Zn Tm
4 2 1
direct
0.2187 0.2187 0.3438
0.3929 0.3929 0.8213
0.7813 0.7813 0.6562
0.6071 0.6071 0.1787
0.1063 0.1063 0.6812
0.8937 0.8937 0.3188
0.0000 0.0000 0.0000
```

***

Entry 8:
Material: DyTm4Zn
Method: DFT, PBE
State: optimized geometry

Properties
The energy above the most stable polymorph in this dataset is 0 meV/atom. As for the symmetry: P4/mmm (123). Its mass density is 9.04 g cm⁻³. For the spin magnetization, the calculation gives 0.0 μB/cell.

Structure (POSCAR):
```
DyTm4Zn
1.0
-2.7298 2.0060 0.8762
-0.9291 -2.3300 2.4396
7.6800 6.4729 9.1072
Zn Dy Tm
1 1 4
direct
0.5000 0.5000 0.5000
0.0000 0.0000 0.0000
0.0000 0.0000 0.6305
0.0000 0.0000 0.3695
0.5000 0.5000 0.8167
0.5000 0.5000 0.1833
```

***

Entry 9:
Material: Dy2Tm2Zn3
Method: DFT, PBE
State: optimized geometry

Properties
As for the symmetry: P-1 (2). Its mass density is 8.32 g cm⁻³. For the spin magnetization, the calculation gives 0.0 μB/cell.

Structure (POSCAR):
```
Dy2Tm2Zn3
1.0
4.7741 -0.0091 -1.3297
-2.5796 4.2422 0.0013
-0.1829 -0.1029 8.5413
Dy Tm Zn
2 2 3
direct
0.2548 0.1269 0.3801
0.7452 0.8731 0.6199
0.2441 0.6222 0.8677
0.7559 0.3778 0.1323
0.4954 0.7476 0.2415
0.5046 0.2524 0.7585
0.0000 0.0000 0.0000
```

***

Entry 10:
Material: Dy2TmZn3
Method: DFT, PBE
State: optimized geometry

Properties
As for the symmetry: P4/mmm (123). Its mass density is 8.51 g cm⁻³. For the spin magnetization, the calculation gives 0.0 μB/cell.

Structure (POSCAR):
```
Dy2TmZn3
1.0
3.5559 0.0000 0.0000
0.0000 3.5559 0.0000
0.0000 0.0000 10.6462
Zn Tm Dy
3 1 2
direct
0.0000 0.0000 0.0000
0.0000 0.0000 0.3378
0.0000 0.0000 0.6622
0.5000 0.5000 0.5000
0.5000 0.5000 0.1679
0.5000 0.5000 0.8321
```

***

Entry 11:
Material: Dy2TmZn2
Method: DFT, PBE
State: optimized geometry

Properties
The energy above the most stable polymorph in this dataset is 71 meV/atom. As for the symmetry: Cmc2_1 (36). Its mass density is 8.48 g cm⁻³. For the spin magnetization, the calculation gives 0.0 μB/cell.

Structure (POSCAR):
```
Dy2TmZn2
1.0
5.3150 0.0000 0.0000
0.0000 6.0940 0.0000
-2.6575 0.0000 7.5554
Dy Tm Zn
4 2 4
direct
0.2008 0.6583 0.4016
0.7992 0.1583 0.5984
0.0441 0.2412 0.0882
0.9559 0.7412 0.9118
0.4182 0.4014 0.8363
0.5818 0.9014 0.1637
0.3809 0.9149 0.7619
0.7720 0.6497 0.5441
0.2280 0.1497 0.4559
0.6191 0.4149 0.2381
```

***

Entry 12:
Material: Dy4TmZn4
Method: DFT, PBE
State: optimized geometry

Properties
As for the symmetry: P4_2/n (86). Its mass density is 7.75 g cm⁻³. For the spin magnetization, the calculation gives 0.0 μB/cell.

Structure (POSCAR):
```
Dy4TmZn4
1.0
6.1189 0.0000 0.0000
0.0000 8.7013 0.0000
0.0000 0.0000 8.7013
Dy Zn Tm
8 8 2
direct
0.3980 0.7173 0.0917
0.8980 0.5917 0.7827
0.1020 0.7827 0.4083
0.1020 0.2173 0.5917
0.6020 0.0917 0.2827
0.3980 0.2827 0.9083
0.8980 0.4083 0.2173
0.6020 0.9083 0.7173
0.3672 0.6170 0.7759
0.6328 0.7759 0.3830
0.8672 0.2759 0.8830
0.1328 0.8830 0.7241
0.1328 0.1170 0.2759
0.8672 0.7241 0.1170
0.3672 0.3830 0.2241
0.6328 0.2241 0.6170
0.0000 0.0000 0.0000
0.5000 0.5000 0.5000
```

***

Entry 13:
Material: DyTmZn3
Method: DFT, PBE
State: optimized geometry

Properties
As for the symmetry: Cmcm (63). Its mass density is 8.27 g cm⁻³. For the spin magnetization, the calculation gives 0.0 μB/cell.

Structure (POSCAR):
```
DyTmZn3
1.0
-2.6053 0.7066 -2.3576
-2.9751 0.0743 3.3099
3.3964 12.6702 2.7686
Dy Zn Tm
2 6 2
direct
0.0735 0.2500 0.1471
0.9265 0.7500 0.8529
0.6730 0.2500 0.3460
0.4766 0.2500 0.9533
0.5234 0.7500 0.0467
0.3806 0.2500 0.7612
0.3270 0.7500 0.6540
0.6194 0.7500 0.2388
0.7903 0.2500 0.5805
0.2097 0.7500 0.4195
```

***

Entry 14:
Material: Dy3TmZn2
Method: DFT, PBE
State: optimized geometry

Properties
The energy above the most stable polymorph in this dataset is 14 meV/atom. As for the symmetry: P4/mmm (123). Its mass density is 8.54 g cm⁻³. For the spin magnetization, the calculation gives 0.0 μB/cell.

Structure (POSCAR):
```
Dy3TmZn2
1.0
3.5614 0.0000 0.0000
0.0000 3.5614 0.0000
0.0000 0.0000 12.0707
Zn Dy Tm
2 3 1
direct
0.5000 0.5000 0.8538
0.5000 0.5000 0.1462
0.0000 0.0000 0.2927
0.0000 0.0000 0.0000
0.0000 0.0000 0.7073
0.5000 0.5000 0.5000
```

***

Entry 15:
Material: DyTmZn
Method: DFT, PBE
State: optimized geometry

Properties
The energy above the most stable polymorph in this dataset is 0 meV/atom. As for the symmetry: I4mm (107). Its mass density is 8.68 g cm⁻³. For the spin magnetization, the calculation gives 0.0 μB/cell.

Structure (POSCAR):
```
DyTmZn
1.0
3.5452 0.0000 0.0000
0.0000 3.5452 0.0000
-1.7726 -1.7726 6.0425
Tm Zn Dy
1 1 1
direct
0.3096 0.3096 0.6193
0.6694 0.6694 0.3388
0.0210 0.0210 0.0420
```

***

Entry 16:
Material: DyTm3Zn4
Method: DFT, PBE
State: optimized geometry

Properties
As for the symmetry: P4/mmm (123). Its mass density is 8.76 g cm⁻³. For the spin magnetization, the calculation gives 0.0 μB/cell.

Structure (POSCAR):
```
DyTm3Zn4
1.0
4.9830 0.0000 0.0000
0.0000 7.1026 0.0000
0.0000 0.0000 9.9670
Zn Tm Dy
8 6 2
direct
0.9995 0.2465 0.2500
0.9995 0.7535 0.2500
0.0005 0.7535 0.7500
0.5000 0.2465 0.0000
0.0005 0.2465 0.7500
0.5000 0.2465 0.5000
0.5000 0.7535 0.5000
0.5000 0.7535 0.0000
0.5003 0.5000 0.7500
0.0000 0.0000 0.0000
0.4997 0.0000 0.2500
0.0000 0.0000 0.5000
0.5003 0.0000 0.7500
0.4997 0.5000 0.2500
0.0000 0.5000 0.5000
0.0000 0.5000 0.0000
```

***

Entry 17:
Material: DyTmZn4
Method: DFT, PBE
State: optimized geometry

Properties
The energy above the most stable polymorph in this dataset is 399 meV/atom. As for the symmetry: Pmmm (47). Its mass density is 7.21 g cm⁻³. For the spin magnetization, the calculation gives 0.0 μB/cell.

Structure (POSCAR):
```
DyTmZn4
1.0
-3.6623 0.3482 0.5581
0.0131 -3.1891 2.0818
1.7027 5.1903 7.9385
Zn Tm Dy
4 1 1
direct
0.0013 0.4971 0.2520
0.5013 0.9972 0.7472
0.5012 0.9974 0.2489
0.0013 0.4973 0.7444
0.0013 0.9972 0.4982
0.5015 0.4975 0.9981
```

***

Entry 18:
Material: Dy2TmZn3
Method: DFT, PBE
State: optimized geometry

Properties
As for the symmetry: P-3m1 (164). Its mass density is 8.51 g cm⁻³. For the spin magnetization, the calculation gives 0.0 μB/cell.

Structure (POSCAR):
```
Dy2TmZn3
1.0
-1.7475 1.6706 4.4037
1.6232 -4.7352 -0.4250
5.6788 1.8059 1.5684
Zn Dy Tm
3 2 1
direct
0.3333 0.6667 0.1672
0.6667 0.3333 0.8328
0.0000 0.0000 0.5000
0.3333 0.6667 0.6710
0.6667 0.3333 0.3290
0.0000 0.0000 0.0000
```

***

Entry 19:
Material: Dy3Tm2Zn3
Method: DFT, PBE
State: optimized geometry

Properties
As for the symmetry: Immm (71). Its mass density is 8.65 g cm⁻³. For the spin magnetization, the calculation gives 0.0 μB/cell.

Structure (POSCAR):
```
Dy3Tm2Zn3
1.0
-2.9164 -0.8861 -1.8663
-1.9857 -2.2727 4.1821
-2.1363 10.7590 1.6525
Tm Zn Dy
2 3 3
direct
0.7293 0.2293 0.4585
0.2707 0.7707 0.5415
0.1165 0.1165 0.2331
0.8835 0.8835 0.7669
0.0000 0.5000 0.0000
0.3808 0.3808 0.7616
0.6192 0.6192 0.2384
0.5000 0.0000 0.0000
```

***

Entry 20:
Material: DyTm4Zn
Method: DFT, PBE
State: optimized geometry

Properties
The energy above the most stable polymorph in this dataset is 103 meV/atom. As for the symmetry: C2/c (15). Its mass density is 8.90 g cm⁻³. For the spin magnetization, the calculation gives 0.0 μB/cell.

Structure (POSCAR):
```
DyTm4Zn
1.0
-4.7280 3.7968 -0.7973
0.8784 -2.5032 8.4708
5.9426 4.5941 -2.7047
Dy Tm Zn
2 8 2
direct
0.3453 0.5953 0.1907
0.6547 0.4047 0.8093
0.7640 0.3895 0.2274
0.3724 0.9200 0.6341
0.7617 0.7142 0.6341
0.2360 0.6105 0.7726
0.9634 0.8380 0.2274
0.6276 0.0800 0.3659
0.2383 0.2858 0.3659
0.0366 0.1620 0.7726
0.7501 0.0001 0.0001
0.2499 0.9999 0.9999
```

***

Entry 21:
Material: Dy3TmZn4
Method: DFT, PBE
State: optimized geometry

Properties
As for the symmetry: R-3m (166). Its mass density is 8.47 g cm⁻³. For the spin magnetization, the calculation gives 0.0 μB/cell.

Structure (POSCAR):
```
Dy3TmZn4
1.0
-1.0525 4.8843 0.6200
-4.4024 1.8489 -1.5965
-5.1603 0.5966 6.9819
Dy Zn Tm
3 4 1
direct
0.7494 0.7494 0.7518
0.5000 0.5000 0.5000
0.2506 0.2506 0.2482
0.3746 0.3746 0.8761
0.6254 0.6254 0.1239
0.8753 0.8753 0.3742
0.1247 0.1247 0.6258
0.0000 0.0000 0.0000
```

***

Entry 22:
Material: DyTm5Zn6
Method: DFT, PBE
State: optimized geometry

Properties
As for the symmetry: Cmmm (65). Its mass density is 8.81 g cm⁻³. For the spin magnetization, the calculation gives 0.0 μB/cell.

Structure (POSCAR):
```
DyTm5Zn6
1.0
-2.2211 -4.4216 -0.5866
5.3718 -2.1607 -4.0526
2.4311 -4.7955 5.7792
Zn Tm Dy
6 5 1
direct
0.8323 0.7475 0.3354
0.8323 0.2525 0.3354
0.1677 0.7475 0.6646
0.5000 0.2521 0.0000
0.1677 0.2525 0.6646
0.5000 0.7479 0.0000
0.3325 0.0000 0.3349
0.0000 0.5000 0.0000
0.3342 0.5000 0.3316
0.6675 0.0000 0.6651
0.6658 0.5000 0.6684
0.0000 0.0000 0.0000
```

***

Entry 23:
Material: DyTmZn
Method: DFT, PBE
State: optimized geometry

Properties
The energy above the most stable polymorph in this dataset is 231 meV/atom. As for the symmetry: I-4m2 (119). Its mass density is 7.87 g cm⁻³. For the spin magnetization, the calculation gives 0.0 μB/cell.

Structure (POSCAR):
```
DyTmZn
1.0
4.9073 -0.0329 -0.0464
-2.4261 4.2737 0.0373
-2.4273 -1.4321 4.0255
Zn Tm Dy
1 1 1
direct
0.4445 0.2223 0.6667
0.9444 0.9723 0.9165
0.9444 0.4721 0.4168
```

***

Entry 24:
Material: DyTmZn6
Method: DFT, PBE
State: optimized geometry

Properties
As for the symmetry: Amm2 (38). Its mass density is 8.13 g cm⁻³. For the spin magnetization, the calculation gives 0.0 μB/cell.

Structure (POSCAR):
```
DyTmZn6
1.0
4.3958 0.0000 0.0000
0.0000 5.4916 -2.6285
0.0000 0.0745 6.0878
Zn Dy Tm
6 1 1
direct
0.0000 0.5889 0.4111
0.0000 0.6313 0.9587
0.5000 0.4560 0.1305
0.5000 0.8695 0.5440
0.0000 0.0413 0.3687
0.5000 0.9131 0.0869
0.5000 0.3937 0.6063
0.0000 0.1057 0.8943
```

***

Number 1: energy -3.799 eV per atom. Number 2: energy -3.432 eV per atom. Number 3: energy -3.269 eV per atom. Number 4: energy -2.693 eV per atom. Number 5: energy -4.256 eV per atom. Number 6: energy -2.738 eV per atom. Number 7: energy -3.479 eV per atom. Number 8: energy -4.058 eV per atom. Number 9: energy -3.339 eV per atom. Number 10: energy -3.259 eV per atom. Number 11: energy -3.443 eV per atom. Number 12: energy -3.178 eV per atom. Number 13: energy -2.921 eV per atom. Number 14: energy -3.690 eV per atom. Number 15: energy -3.662 eV per atom. Number 16: energy -3.239 eV per atom. Number 17: energy -2.339 eV per atom. Number 18: energy -3.261 eV per atom. Number 19: energy -3.573 eV per atom. Number 20: energy -3.956 eV per atom. Number 21: energy -3.267 eV per atom. Number 22: energy -3.234 eV per atom. Number 23: energy -3.431 eV per atom. Number 24: energy -2.399 eV per atom.